Computed, not measured: crystalline SrCrReO6 at its relaxed geometry at the PBE with a Hubbard U level of DFT.

Unit cell a=5.2226 b=5.2226 c=5.3636 alpha=90.00 beta=90.00 gamma=120.00
Fractional positions:
1 Sr 0.0000 0.0000 0.0000
2 Cr 0.6667 0.3333 0.5000
3 Re 0.3333 0.6667 0.5000
4 O 0.0151 0.3879 0.2993
5 O 0.0151 0.6272 0.7007
6 O 0.3728 0.3879 0.7007
7 O 0.3728 0.9849 0.2993
8 O 0.6121 0.6272 0.2993
9 O 0.6121 0.9849 0.7007

Computed properties:
energy	-7.780	eV/atom
total magnetic moment	0.333	μB per atom